{
  "formula": "SmSc2B6",
  "functional": "PBE",
  "state": "optimized geometry",
  "total_energy_ha_per_atom": -0.2577,
  "formation_energy_ev_per_fu": -5.67,
  "dos_ef_per_ev_atom": 0.424,
  "cell": [[-0.772, -3.490, 1.064], [4.033, 0.277, 3.834], [-5.192, 1.546, 1.301]],
  "species": ["Sm", "Sc", "Sc", "B", "B", "B", "B", "B", "B"],
  "frac_coords": [[0.000, 0.000, 0.000], [0.000, 0.333, 0.667], [0.000, 0.667, 0.333], [0.500, 0.341, 0.341], [0.500, 0.659, 0.659], [0.500, 0.000, 0.659], [0.500, 0.659, 0.000], [0.500, 0.341, 0.000], [0.500, 0.000, 0.341]]
}